Record 1
{"formula": "LiTm2Nb", "functional": "PBE-GGA", "state": "relaxed", "lattice_angstrom": [[1.570, 0.906, 11.436], [-1.570, 0.906, 11.436], [0.000, -1.813, 11.436]], "species": ["Li", "Tm", "Tm", "Nb"], "fractional_positions": [[0.000, 0.000, 0.000], [0.415, 0.415, 0.415], [0.585, 0.585, 0.585], [0.500, 0.500, 0.500]], "sg": "R-3m, No. 166", "e_form_mev_per_atom": 539.0, "relative_energy_ev_per_atom": 0.3508}

***

Record 2
{"formula": "Pm4CuBi", "functional": "PBE-GGA", "state": "relaxed", "lattice_angstrom": [[2.817, -10.197, 0.000], [2.817, 10.197, 0.000], [0.000, 0.000, 6.498]], "species": ["Pm", "Pm", "Pm", "Pm", "Pm", "Pm", "Pm", "Pm", "Cu", "Cu", "Bi", "Bi"], "fractional_positions": [[0.049, 0.951, 0.500], [0.204, 0.796, 0.252], [0.204, 0.796, 0.747], [0.395, 0.605, 0.500], [0.605, 0.395, 0.000], [0.796, 0.204, 0.247], [0.796, 0.204, 0.752], [0.951, 0.049, 0.000], [0.085, 0.915, 0.999], [0.915, 0.085, 0.499], [0.355, 0.645, 0.000], [0.645, 0.355, 0.500]], "sg": "Cmc2_1, No. 36", "e_form_mev_per_atom": -220.1}

***

Record 3
{"formula": "La6Tb3Sm2Mg", "functional": "PBE-GGA", "state": "relaxed", "lattice_angstrom": [[3.161, -5.479, 0.000], [3.161, 5.479, 0.000], [-2.113, 0.000, 11.770]], "species": ["La", "La", "La", "La", "La", "La", "Tb", "Tb", "Tb", "Sm", "Sm", "Mg"], "fractional_positions": [[0.083, 0.414, 0.750], [0.248, 0.248, 0.249], [0.414, 0.083, 0.750], [0.586, 0.917, 0.250], [0.752, 0.752, 0.751], [0.917, 0.586, 0.250], [0.167, 0.833, 0.000], [0.500, 0.500, 0.000], [0.833, 0.167, 0.000], [0.333, 0.667, 0.500], [0.667, 0.333, 0.500], [0.000, 0.000, 0.500]], "sg": "C2/m, No. 12", "e_form_mev_per_atom": 13.3}

***

Record 4
{"formula": "Zn2HgBi", "functional": "PBE-GGA", "state": "relaxed", "lattice_angstrom": [[5.367, 0.000, 0.000], [0.000, 5.367, 0.000], [0.000, 0.000, 3.226]], "species": ["Zn", "Zn", "Hg", "Bi"], "fractional_positions": [[0.000, 0.500, 0.000], [0.500, 0.000, 0.000], [0.000, 0.000, 0.500], [0.500, 0.500, 0.500]], "sg": "P4/mmm, No. 123", "e_form_mev_per_atom": 196.7, "relative_energy_ev_per_atom": 0.0533}

***

Record 5
{"formula": "YHoTiIn", "functional": "PBE-GGA", "state": "relaxed", "lattice_angstrom": [[0.000, 3.713, 3.713], [3.713, 0.000, 3.713], [3.713, 3.713, 0.000]], "species": ["Y", "Ho", "Ti", "In"], "fractional_positions": [[0.000, 0.000, 0.000], [0.500, 0.500, 0.500], [0.750, 0.750, 0.750], [0.250, 0.250, 0.250]], "sg": "F-43m, No. 216", "e_form_mev_per_atom": -105.5}

***

Record 6
{"formula": "YCr2Cd", "functional": "PBE-GGA", "state": "relaxed", "lattice_angstrom": [[0.000, 3.430, 3.430], [3.430, 0.000, 3.430], [3.430, 3.430, 0.000]], "species": ["Y", "Cr", "Cr", "Cd"], "fractional_positions": [[0.000, 0.000, 0.000], [0.250, 0.250, 0.250], [0.500, 0.500, 0.500], [0.750, 0.750, 0.750]], "sg": "F-43m, No. 216", "e_form_mev_per_atom": 273.8}

***

Record 7
{"formula": "SrIn2Si", "functional": "PBE-GGA", "state": "relaxed", "lattice_angstrom": [[6.053, -1.880, 0.000], [6.053, 1.880, 0.000], [-2.273, 0.000, 4.741]], "species": ["Sr", "In", "In", "Si"], "fractional_positions": [[0.000, 0.000, 0.000], [0.209, 0.209, 0.708], [0.791, 0.791, 0.292], [0.500, 0.500, 0.500]], "sg": "C2/m, No. 12", "e_form_raw_ev_per_atom": -0.103}

***

Record 8
{"formula": "EuThAl", "functional": "PBE-GGA", "state": "relaxed", "lattice_angstrom": [[-1.747, 1.747, 7.234], [1.747, -1.747, 7.234], [1.747, 1.747, -7.234]], "species": ["Eu", "Th", "Al"], "fractional_positions": [[0.000, 0.000, 0.000], [0.291, 0.291, 0.000], [0.650, 0.650, 0.000]], "sg": "I4mm, No. 107", "e_form_mev_per_atom": -63.0, "relative_energy_ev_per_atom": 0.0000}

***

Record 9
{"formula": "TbPd6Pt23", "functional": "PBE-GGA", "state": "relaxed", "lattice_angstrom": [[-3.966, 3.966, 7.819], [3.966, -3.966, 7.819], [3.966, 3.966, -7.819]], "species": ["Tb", "Pd", "Pd", "Pd", "Pd", "Pd", "Pd", "Pt", "Pt", "Pt", "Pt", "Pt", "Pt", "Pt", "Pt", "Pt", "Pt", "Pt", "Pt", "Pt", "Pt", "Pt", "Pt", "Pt", "Pt", "Pt", "Pt", "Pt", "Pt", "Pt"], "fractional_positions": [[0.000, 0.000, 0.000], [0.247, 0.247, 0.000], [0.252, 0.252, 0.504], [0.252, 0.748, 0.000], [0.748, 0.252, 0.000], [0.748, 0.748, 0.496], [0.753, 0.753, 0.000], [0.000, 0.000, 0.500], [0.000, 0.500, 0.000], [0.000, 0.500, 0.500], [0.121, 0.372, 0.749], [0.131, 0.393, 0.262], [0.131, 0.869, 0.262], [0.131, 0.869, 0.738], [0.372, 0.121, 0.749], [0.372, 0.623, 0.251], [0.377, 0.628, 0.749], [0.393, 0.131, 0.262], [0.500, 0.000, 0.000], [0.500, 0.000, 0.500], [0.500, 0.500, 0.000], [0.500, 0.500, 0.500], [0.607, 0.869, 0.738], [0.623, 0.372, 0.251], [0.628, 0.377, 0.749], [0.628, 0.879, 0.251], [0.869, 0.131, 0.262], [0.869, 0.131, 0.738], [0.869, 0.607, 0.738], [0.879, 0.628, 0.251]], "sg": "I4/mmm, No. 139", "e_form_mev_per_atom": -120.5}

***

Record 10
{"formula": "TaInBr2", "functional": "PBE-GGA", "state": "relaxed", "lattice_angstrom": [[3.259, 0.000, 0.000], [0.000, 4.887, 0.000], [-0.047, 0.000, 6.649]], "species": ["Ta", "In", "Br", "Br"], "fractional_positions": [[0.000, 0.000, 0.000], [0.497, 0.500, 0.773], [0.002, 0.500, 0.156], [0.505, 0.000, 0.317]], "sg": "Pm, No. 6", "relative_energy_ev_per_atom": 0.3021, "e_form_raw_ev_per_atom": 0.052}

***

Record 11
{"formula": "Ac2CoSiPt6", "functional": "PBE-GGA", "state": "relaxed", "lattice_angstrom": [[5.992, -2.795, 0.000], [5.992, 2.795, 0.000], [-5.416, 0.000, 6.185]], "species": ["Ac", "Ac", "Co", "Si", "Pt", "Pt", "Pt", "Pt", "Pt", "Pt"], "fractional_positions": [[0.240, 0.240, 0.197], [0.760, 0.760, 0.803], [0.500, 0.500, 0.000], [0.000, 0.000, 0.500], [0.242, 0.737, 0.732], [0.250, 0.250, 0.623], [0.263, 0.758, 0.268], [0.737, 0.242, 0.732], [0.750, 0.750, 0.377], [0.758, 0.263, 0.268]], "sg": "C2/m, No. 12", "e_form_raw_ev_per_atom": -0.816}

***

Record 12
{"formula": "Ce3Ru3Pb", "functional": "PBE-GGA", "state": "relaxed", "lattice_angstrom": [[4.400, 2.540, 5.013], [-4.400, 2.540, 5.013], [0.000, -5.080, 5.013]], "species": ["Ce", "Ce", "Ce", "Ce", "Ce", "Ce", "Ru", "Ru", "Ru", "Ru", "Ru", "Ru", "Pb", "Pb"], "fractional_positions": [[0.133, 0.814, 0.375], [0.186, 0.625, 0.867], [0.375, 0.133, 0.814], [0.625, 0.867, 0.186], [0.814, 0.375, 0.133], [0.867, 0.186, 0.625], [0.062, 0.451, 0.699], [0.301, 0.938, 0.549], [0.451, 0.699, 0.062], [0.549, 0.301, 0.938], [0.699, 0.062, 0.451], [0.938, 0.549, 0.301], [0.332, 0.332, 0.332], [0.668, 0.668, 0.668]], "sg": "R-3, No. 148", "e_form_mev_per_atom": -266.7}

***

Record 13
{"formula": "CeHoTlZn", "functional": "PBE-GGA", "state": "relaxed", "lattice_angstrom": [[0.000, 3.737, 3.737], [3.737, 0.000, 3.737], [3.737, 3.737, 0.000]], "species": ["Ce", "Ho", "Tl", "Zn"], "fractional_positions": [[0.000, 0.000, 0.000], [0.500, 0.500, 0.500], [0.750, 0.750, 0.750], [0.250, 0.250, 0.250]], "sg": "F-43m, No. 216", "e_form_mev_per_atom": -239.4}

***

Record 14
{"formula": "KZn2SiRh", "functional": "PBE-GGA", "state": "relaxed", "lattice_angstrom": [[4.961, 0.000, 0.000], [0.000, 4.961, 0.000], [0.000, 0.000, 4.545]], "species": ["K", "Zn", "Zn", "Si", "Rh"], "fractional_positions": [[0.000, 0.000, 0.000], [0.000, 0.500, 0.500], [0.500, 0.000, 0.500], [0.500, 0.500, 0.000], [0.500, 0.500, 0.500]], "sg": "P4/mmm, No. 123", "e_form_raw_ev_per_atom": -0.182}

***

Record 15
{"formula": "Cs3RbGe", "functional": "PBE-GGA", "state": "relaxed", "lattice_angstrom": [[8.413, 0.000, 0.000], [0.000, 8.413, 0.000], [0.000, 0.000, 8.413]], "species": ["Cs", "Cs", "Cs", "Rb", "Ge"], "fractional_positions": [[0.000, 0.000, 0.500], [0.000, 0.500, 0.000], [0.500, 0.000, 0.000], [0.000, 0.000, 0.000], [0.500, 0.500, 0.500]], "sg": "Pm-3m, No. 221", "e_form_mev_per_atom": 648.7, "relative_energy_ev_per_atom": 0.5049}

***

Record 16
{"formula": "In5Bi2Pb3", "functional": "PBE-GGA", "state": "relaxed", "lattice_angstrom": [[5.174, -7.680, 0.000], [5.174, 7.680, 0.000], [-4.806, 0.000, 7.877]], "species": ["In", "In", "In", "In", "In", "In", "In", "In", "In", "In", "Bi", "Bi", "Bi", "Bi", "Pb", "Pb", "Pb", "Pb", "Pb", "Pb"], "fractional_positions": [[0.006, 0.266, 0.045], [0.011, 0.989, 0.750], [0.266, 0.006, 0.545], [0.270, 0.730, 0.250], [0.466, 0.534, 0.250], [0.534, 0.466, 0.750], [0.730, 0.270, 0.750], [0.734, 0.994, 0.455], [0.989, 0.011, 0.250], [0.994, 0.734, 0.955], [0.219, 0.441, 0.459], [0.441, 0.219, 0.959], [0.559, 0.781, 0.041], [0.781, 0.559, 0.541], [0.169, 0.402, 0.803], [0.230, 0.770, 0.750], [0.402, 0.169, 0.303], [0.598, 0.831, 0.697], [0.770, 0.230, 0.250], [0.831, 0.598, 0.197]], "sg": "C2/c, No. 15", "e_form_mev_per_atom": 86.7}

***

Record 17
{"formula": "Pm3Sn5Pb", "functional": "PBE-GGA", "state": "relaxed", "lattice_angstrom": [[9.532, 0.000, 0.000], [-4.766, 8.255, 0.000], [0.000, 0.000, 6.557]], "species": ["Pm", "Pm", "Pm", "Pm", "Pm", "Pm", "Sn", "Sn", "Sn", "Sn", "Sn", "Sn", "Sn", "Sn", "Sn", "Sn", "Pb", "Pb"], "fractional_positions": [[0.000, 0.371, 0.250], [0.000, 0.629, 0.750], [0.371, 0.000, 0.250], [0.371, 0.371, 0.750], [0.629, 0.000, 0.750], [0.629, 0.629, 0.250], [0.000, 0.300, 0.750], [0.000, 0.700, 0.250], [0.300, 0.000, 0.750], [0.300, 0.300, 0.250], [0.333, 0.667, 0.000], [0.333, 0.667, 0.500], [0.667, 0.333, 0.000], [0.667, 0.333, 0.500], [0.700, 0.000, 0.250], [0.700, 0.700, 0.750], [0.000, 0.000, 0.000], [0.000, 0.000, 0.500]], "sg": "P6_3/mcm, No. 193", "e_form_mev_per_atom": -438.5}

***

Record 18
{"formula": "Pr4Nd7Sm", "functional": "PBE-GGA", "state": "relaxed", "lattice_angstrom": [[8.264, -3.068, 0.000], [8.264, 3.068, 0.000], [-4.206, 0.000, 8.553]], "species": ["Pr", "Pr", "Pr", "Pr", "Nd", "Nd", "Nd", "Nd", "Nd", "Nd", "Nd", "Sm"], "fractional_positions": [[0.083, 0.083, 0.441], [0.208, 0.208, 0.225], [0.792, 0.792, 0.775], [0.917, 0.917, 0.559], [0.000, 0.000, 0.000], [0.214, 0.214, 0.878], [0.329, 0.329, 0.610], [0.426, 0.426, 0.298], [0.574, 0.574, 0.702], [0.671, 0.671, 0.390], [0.786, 0.786, 0.122], [0.500, 0.500, 0.000]], "sg": "C2/m, No. 12", "e_form_mev_per_atom": 199.2, "relative_energy_ev_per_atom": 0.1849}

***

Record 19
{"formula": "K2VIn", "functional": "PBE-GGA", "state": "relaxed", "lattice_angstrom": [[-4.836, 4.836, 3.042], [4.836, -4.836, 3.042], [4.836, 4.836, -3.042]], "species": ["K", "K", "K", "K", "V", "V", "In", "In"], "fractional_positions": [[0.113, 0.625, 0.988], [0.375, 0.363, 0.488], [0.637, 0.125, 0.012], [0.875, 0.887, 0.512], [0.000, 0.000, 0.000], [0.750, 0.250, 0.500], [0.250, 0.750, 0.500], [0.500, 0.500, 0.000]], "sg": "I-42d, No. 122", "e_form_mev_per_atom": 817.4}

***

Record 20
{"formula": "Ba2SrPm3O8", "functional": "PBE-GGA", "state": "relaxed", "lattice_angstrom": [[3.637, 2.100, 6.172], [-3.637, 2.100, 6.172], [0.000, -4.199, 6.172]], "species": ["Ba", "Ba", "Sr", "Pm", "Pm", "Pm", "O", "O", "O", "O", "O", "O", "O", "O"], "fractional_positions": [[0.000, 0.000, 0.000], [0.376, 0.376, 0.376], [0.621, 0.621, 0.621], [0.000, 0.000, 0.501], [0.000, 0.501, 0.000], [0.501, 0.000, 0.000], [0.212, 0.749, 0.749], [0.232, 0.232, 0.232], [0.248, 0.248, 0.801], [0.248, 0.801, 0.248], [0.749, 0.212, 0.749], [0.749, 0.749, 0.212], [0.765, 0.765, 0.765], [0.801, 0.248, 0.248]], "sg": "R3m, No. 160", "e_form_raw_ev_per_atom": -2.856}

***

Let's list mass density in order: 7.443, 7.583, 6.661, 9.656, 6.759, 6.283, 5.316, 7.731, 17.835, 7.144, 13.718, 9.195, 9.143, 4.467, 1.553, 8.560, 7.953, 6.600, 2.848, 5.434 Mg/m³.